[1]
# Hg2BiMo

Hg2BiMo after structural relaxation (PBE-GGA, Alexandria via LeMat-Bulk).

Unit cell a=6.581 b=6.581 c=6.581 alpha=100.52 beta=100.52 gamma=129.41
Sites, in units of the cell vectors:
Hg: 0.087 0.125 0.462
Hg: 0.375 0.913 0.038
Hg: 0.663 0.625 0.538
Hg: 0.875 0.337 0.962
Bi: 0.250 0.750 0.500
Bi: 0.500 0.500 0.000
Mo: 0.000 0.000 0.000
Mo: 0.750 0.250 0.500

Computed properties:
E_form: 2.972 eV per formula unit
space group: No. 122
Fermi-level density of states: 0.96 states/eV per atom
spin magnetization: 1.55 μB/f.u.
volume: 199 Å³ per cell


[2]
# NaHgBi2Mo

NaHgBi2Mo after structural relaxation (PBE-GGA, Alexandria via LeMat-Bulk).

Unit cell a=5.381 b=5.381 c=5.535 alpha=90.00 beta=90.00 gamma=90.00
Sites, in units of the cell vectors:
Na: 0.000 0.000 0.000
Hg: 0.500 0.500 0.000
Bi: 0.000 0.500 0.500
Bi: 0.500 0.000 0.500
Mo: 0.500 0.500 0.500

Computed properties:
E_form: 1.469 eV per formula unit
space group: No. 123
Fermi-level density of states: 0.63 states/eV per atom
spin magnetization: 0.00 μB/f.u.
volume: 160 Å³ per cell


[3]
# NiHgBiMo2

NiHgBiMo2 after structural relaxation (PBE-GGA, Alexandria via LeMat-Bulk).

Unit cell a=5.309 b=5.309 c=5.573 alpha=90.00 beta=90.00 gamma=90.00
Sites, in units of the cell vectors:
Ni: 0.000 0.000 0.000
Hg: 0.500 0.500 0.000
Bi: 0.500 0.500 0.500
Mo: 0.000 0.500 0.500
Mo: 0.500 0.000 0.500

Computed properties:
E_form: 11.871 eV per formula unit
space group: No. 123
Fermi-level density of states: 3.05 states/eV per atom
spin magnetization: 6.24 μB/f.u.
volume: 157 Å³ per cell